# 1
## Nd2Dy3Sn (PBE)

Data for a relaxed structure of Nd2Dy3Sn.

Crystal system: orthorhombic
Calculated total energy (eV/atom): -4.806
Total magnetization (μB/cell): 0.000
Volume (Å³ per atom): 30.5
Symmetry: No. 65

```
6
Lattice="2.4419 -7.6436 0.0000 2.4419 7.6436 0.0000 0.0000 0.0000 4.9072" Properties=species:S:1:pos:R:3 pbc="T T T"
Nd 2.4419 5.1914 0.0000
Nd 2.4419 -5.1914 0.0000
Dy 0.0000 0.0000 2.4536
Dy 2.4419 2.4949 2.4536
Dy 2.4419 -2.4949 2.4536
Sn 2.4419 0.0000 0.0000
```

# 2
## TlIn2AgBr4 (PBE)

Data for a relaxed structure of TlIn2AgBr4.

Formation energy (no corrections) (eV per atom): -0.59
Crystal system: orthorhombic
Calculated total energy (eV/atom): -2.759
Total magnetization (μB/cell): 0.000
Volume (Å³ per atom): 34.6
Symmetry: No. 74

```
16
Lattice="-4.5734 4.6873 6.4519 4.5734 -4.6873 6.4519 4.5734 4.6873 -6.4519" Properties=species:S:1:pos:R:3 pbc="T T T"
Tl -2.2867 2.3437 3.2260
Tl 2.2867 2.3437 3.2260
In 0.0000 0.0000 0.0000
In 2.2867 2.3437 -3.2260
In 2.2867 -2.3437 3.2260
In 0.0000 4.6873 0.0000
Ag 4.5734 0.0000 0.0000
Ag 0.0000 0.0000 6.4519
Br 4.5734 -0.0178 2.7385
Br 2.3417 2.3437 -0.0169
Br 6.8052 2.3437 -0.0169
Br 4.5734 4.6695 -2.7385
Br 0.0000 0.0178 9.1904
Br -2.2318 2.3437 6.4688
Br 2.2318 2.3437 6.4688
Br 0.0000 4.7051 3.7135
```